No. 1
A plane-wave DFT calculation with SCAN was carried out for RbBe2HgW at its PBEsol-relaxed geometry.

Computed properties:
**Calculated density**: 7.01 Mg/m³
**Symmetry**: P4/mmm
**Energy**: -2.3435 Ry/atom
**Total moment**: 4.237 μB per formula unit

Geometry as POSCAR:
```
RbBe2HgW
1.0
4.624 0.000 0.000
0.000 4.624 0.000
0.000 0.000 5.405
Rb Be Hg W
1 2 1 1
Direct
0.000 0.000 0.000
0.000 0.500 0.500
0.500 0.000 0.500
0.500 0.500 0.500
0.500 0.500 0.000
```

---

No. 2
A plane-wave DFT calculation with SCAN was carried out for BeReTcHg2 at its PBEsol-relaxed geometry.

Computed properties:
**Calculated density**: 11.25 Mg/m³
**Symmetry**: P4/mmm
**Energy**: -3.4866 Ry/atom
**Total moment**: 4.812 μB per formula unit

Geometry as POSCAR:
```
BeReTcHg2
1.0
5.032 0.000 0.000
0.000 5.032 0.000
0.000 0.000 4.049
Be Re Tc Hg
1 1 1 2
Direct
0.000 0.000 0.000
0.500 0.500 0.000
0.000 0.000 0.500
0.000 0.500 0.500
0.500 0.000 0.500
```

---

total moment of number 1 (RbBe2HgW)?
4.237 μB per formula unit